1.
## Sr2AcBi (GGA-PBE)

Data for a relaxed Sr2AcBi crystal.

The structure in extended XYZ format:
```
4
Lattice="3.9674 0.0000 0.0000 1.9837 3.4358 0.0000 1.9837 1.1453 13.4031" Properties=species:S:1:pos:R:3 pbc="T T T"
Ac 3.9674 2.2906 6.7015
Bi 0.0000 0.0000 0.0000
Sr 5.9510 3.4358 3.3390
Sr 1.9837 1.1453 10.0641
```

Uncorrected energy = -11.23 eV per cell
Crystal system = trigonal

=====

2.
## Sr2AcBi (GGA-PBE)

Data for a relaxed Sr2AcBi crystal.

The structure in extended XYZ format:
```
4
Lattice="-4.7406 3.1991 0.2207 -1.5466 -1.9701 -4.6624 -2.5301 -3.9215 2.4963" Properties=species:S:1:pos:R:3 pbc="T T T"
Ac -2.3703 1.5996 0.1104
Sr -1.2650 -1.9607 1.2482
Sr -0.7733 -0.9851 -2.3312
Bi -4.4086 -1.3462 -0.9727
```

Uncorrected energy = -12.64 eV per cell
Crystal system = tetragonal

=====

3.
## SrAcBi6 (GGA-PBE)

Data for a relaxed SrAcBi6 crystal.

The structure in extended XYZ format:
```
8
Lattice="-4.6645 0.3654 -1.8051 -1.8029 -1.9096 4.2723 -0.7889 9.6966 4.0011" Properties=species:S:1:pos:R:3 pbc="T T T"
Bi -3.2337 -0.7721 1.2336
Bi -3.6282 4.0762 3.2341
Sr 0.0000 0.0000 0.0000
Bi -1.4956 6.3482 5.1496
Bi -1.0962 1.4388 3.1238
Bi -2.5270 2.5763 0.0851
Bi -2.9264 7.4857 2.1109
Ac -0.3944 4.8483 2.0006
```

Uncorrected energy = -32.96 eV per cell
Crystal system = tetragonal

=====

4.
## SrAcBi2 (GGA-PBE)

Data for a relaxed SrAcBi2 crystal.

The structure in extended XYZ format:
```
4
Lattice="-3.0711 1.0652 3.6142 -4.4617 -1.9288 0.0337 0.2141 -6.5416 5.3868" Properties=species:S:1:pos:R:3 pbc="T T T"
Bi -1.8225 -1.8706 2.2720
Sr 0.0000 0.0000 0.0000
Bi -5.4961 -5.5347 6.7627
Ac -3.6593 -3.7026 4.5174
```

Uncorrected energy = -16.80 eV per cell
Crystal system = monoclinic